Run one
Material: LiRe
Method: DFT, meta-GGA SCAN
State: PBEsol geometry

ρ: 13.27 g/cm3
DOS at the Fermi energy: 1.63 states/eV per cell
total magnetization: 0.0 μB per formula unit

abc: 3.4606 3.4606 4.6613
angles: 90.00 90.00 120.00
With the nearest neighbours (Å) after each atom.
Space group P6_3/mmc (No. 194)
Asymmetric unit:
Li  0.0000  0.0000  0.0000 x2  6 Re 2.31, 2 Li 2.33
Re  0.3333  0.6667  0.2500 x2  6 Li 2.31


Run two
Material: LiRe
Method: DFT, meta-GGA SCAN
State: PBEsol geometry

ρ: 11.78 g/cm3
DOS at the Fermi energy: 2.71 states/eV per cell
total magnetization: 0.0 μB per formula unit

abc: 3.4903 3.4903 5.1624
angles: 90.00 90.00 120.00
With the nearest neighbours (Å) after each atom.
Space group P6_3/mmc (No. 194)
Asymmetric unit:
Li  0.3333  0.6667  0.2500 x2  6 Re 2.39
Re  0.0000  0.0000  0.0000 x2  6 Li 2.39, 2 Re 2.58


The data favor run one; the next most stable structure lies 60 meV/atom above it.